[1]
Material: Zn3Ga2Cu6
Method: DFT, PBE
State: relaxed

a b c (Å): 4.739 4.753 7.699
angles (deg): 99.30 99.62 114.49
Space group P-1 (No. 2)
Inequivalent atoms, fractional coordinates:
Zn  0.000  0.000  0.000 x1
Zn  0.270  0.271  0.355 x2
Ga  0.267  0.267  0.734 x2
Cu  0.184  0.652  0.156 x2
Cu  0.218  0.782  0.500 x2
Cu  0.348  0.816  0.844 x2

Computed properties:
Its crystal system is triclinic. The energy of formation comes out at -0.03 eV/atom. For the total energy, the calculation gives -3.17 eV per atom.



[2]
Material: Mg2Te2Au
Method: DFT, PBE
State: relaxed

a b c (Å): 7.846 7.846 3.972
angles (deg): 90.00 90.00 90.00
Space group P4/mbm (No. 127)
Inequivalent atoms, fractional coordinates:
Mg  0.147  0.353  0.000 x4
Te  0.163  0.663  0.500 x4
Au  0.000  0.000  0.000 x2

Computed properties:
The formation energy from raw total energies comes out at -0.280 eV per atom. Its crystal system is tetragonal. For the total energy, the calculation gives -2.83 eV per atom.



[3]
Material: RbNaRu2
Method: DFT, PBE
State: relaxed

a b c (Å): 8.849 8.849 4.919
angles (deg): 90.00 90.00 90.00
Space group I-42d (No. 122)
Inequivalent atoms, fractional coordinates:
Rb  0.000  0.000  0.000 x4
Na  0.000  0.000  0.500 x4
Ru  0.223  0.750  0.625 x8

Computed properties:
Its crystal system is tetragonal. The energy of formation comes out at 1.60 eV/atom. For the total energy, the calculation gives -3.61 eV per atom.